Compound: SrTbEuVO6
Source: Alexandria via LeMat-Bulk
Functional: GGA+U
Structure: relaxed

Values from the calculation:
Magnetization in Bohr magnetons per cell: 28.02
Total DFT energy (no corrections) in Ry/atom: -0.595

Cell: 8.2209 8.2209 8.2209 Å, 90.00 90.00 90.00°
With the nearest neighbours (Å) after each atom.
Space group F-43m (No. 216)
One atom of each set of equivalent atoms:
Sr: 0.0000 0.0000 0.0000 (multiplicity 4)  12 O 2.91
Tb: 0.2500 0.2500 0.7500 (multiplicity 4)  6 O 2.21
Eu: 0.0000 0.0000 0.5000 (multiplicity 4)  12 O 2.91
V: 0.2500 0.2500 0.2500 (multiplicity 4)  6 O 1.90
O: 0.0187 0.2500 0.2500 (multiplicity 24)  1 V 1.90